DFT (PBE with a Hubbard U) results for AcPaCr2O8 after structural relaxation.

Cell: 6.1768 6.1768 6.1768 Å, 106.45 106.45 115.69°
Closest atoms and distances in Å follow each position.
Atoms (fractional coordinates):
Ac 0.0000 0.0000 0.0000  8 O 2.48-2.61
Pa 0.2500 0.7500 0.5000  8 O 2.33-2.35
Cr 0.5000 0.5000 0.0000  4 O 1.81
Cr 0.7500 0.2500 0.5000  4 O 1.80
O 0.3318 0.1378 0.8060  1 Cr 1.81
O 0.3318 0.5258 0.1940  1 Cr 1.81
O 0.3846 0.0526 0.3321  1 Cr 1.80
O 0.4742 0.6682 0.8060  1 Cr 1.81
O 0.7205 0.0526 0.6679  1 Cr 1.80
O 0.8622 0.6682 0.1940  1 Cr 1.81
O 0.9474 0.2795 0.3321  1 Cr 1.80
O 0.9474 0.6154 0.6679  1 Cr 1.80

E_tot (eV/atom): -8.204
Magnetic moment (μB/atom): 0.333